1.
# meta-GGA SCAN CrCd3B, PBEsol geometry
# V in A^3/atom: 18.250
# ΔH_f (0 K) in eV per atom: 0.66
data_CrCd3B
_chemical_formula_sum 'Cr1 Cd3 B1'
_symmetry_space_group_name_H-M 'P m -3 m'
_symmetry_Int_Tables_number 221
_symmetry_space_group_name_Hall '-P 4 2 3'
_cell_length_a 4.5021
_cell_length_b 4.5021
_cell_length_c 4.5021
_cell_angle_alpha 90.00
_cell_angle_beta 90.00
_cell_angle_gamma 90.00
loop_
_atom_site_label
_atom_site_type_symbol
_atom_site_fract_x
_atom_site_fract_y
_atom_site_fract_z
Cr1 Cr 0.0000 0.0000 0.0000
Cd1 Cd 0.0000 0.5000 0.5000
B1 B 0.5000 0.5000 0.5000

2.
# meta-GGA SCAN YCrCd2B, PBEsol geometry
# V in A^3/atom: 19.594
# ΔH_f (0 K) in eV per atom: 0.49
data_YCrCd2B
_chemical_formula_sum 'Y1 Cr1 Cd2 B1'
_symmetry_space_group_name_H-M 'P 4/m m m'
_symmetry_Int_Tables_number 123
_symmetry_space_group_name_Hall '-P 4 2'
_cell_length_a 4.9544
_cell_length_b 4.9544
_cell_length_c 3.9912
_cell_angle_alpha 90.00
_cell_angle_beta 90.00
_cell_angle_gamma 90.00
loop_
_atom_site_label
_atom_site_type_symbol
_atom_site_fract_x
_atom_site_fract_y
_atom_site_fract_z
Y1 Y 0.0000 0.0000 0.0000
Cr1 Cr 0.5000 0.5000 0.5000
Cd1 Cd 0.0000 0.5000 0.5000
B1 B 0.5000 0.5000 0.0000

3.
# meta-GGA SCAN CsCdB3, PBEsol geometry
# V in A^3/atom: 21.004
# ΔH_f (0 K) in eV per atom: 3.36
data_CsCdB3
_chemical_formula_sum 'Cs1 Cd1 B3'
_symmetry_space_group_name_H-M 'P m -3 m'
_symmetry_Int_Tables_number 221
_symmetry_space_group_name_Hall '-P 4 2 3'
_cell_length_a 4.7180
_cell_length_b 4.7180
_cell_length_c 4.7180
_cell_angle_alpha 90.00
_cell_angle_beta 90.00
_cell_angle_gamma 90.00
loop_
_atom_site_label
_atom_site_type_symbol
_atom_site_fract_x
_atom_site_fract_y
_atom_site_fract_z
Cs1 Cs 0.0000 0.0000 0.0000
Cd1 Cd 0.5000 0.5000 0.5000
B1 B 0.0000 0.0000 0.5000

4.
# meta-GGA SCAN Cs2Cd3B16O28, PBEsol geometry
# Energy relative to the elements, uncorrected in eV/atom: -2.495
# V in A^3/atom: 11.494
data_Cs2Cd3B16O28
_chemical_formula_sum 'Cs8 Cd12 B64 O112'
_symmetry_space_group_name_H-M 'C 1 2/c 1'
_symmetry_Int_Tables_number 15
_cell_length_a 21.6678
_cell_length_b 7.7267
_cell_length_c 13.4586
_cell_angle_alpha 90.00
_cell_angle_beta 91.02
_cell_angle_gamma 90.00
loop_
_symmetry_equiv_pos_as_xyz
'x,y,z'
'-x,-y,-z'
'-x,y,-z+1/2'
'x,-y,z+1/2'
'x+1/2,y+1/2,z'
'-x+1/2,-y+1/2,-z'
'-x+1/2,y+1/2,-z+1/2'
'x+1/2,-y+1/2,z+1/2'
loop_
_atom_site_label
_atom_site_type_symbol
_atom_site_fract_x
_atom_site_fract_y
_atom_site_fract_z
Cs1 Cs 0.2499 0.0255 0.0925
Cd1 Cd 0.0000 0.2578 0.7500
Cd2 Cd 0.0007 0.2423 0.3992
B1 B 0.0685 0.4191 0.9215
B2 B 0.0756 0.0821 0.5863
B3 B 0.0861 0.0908 0.9194
B4 B 0.0913 0.4199 0.5859
B5 B 0.0940 0.4194 0.2506
B6 B 0.0946 0.0761 0.2575
B7 B 0.1869 0.0367 0.8455
B8 B 0.1890 0.4809 0.1591
O1 O 0.0596 0.2539 0.9584
O2 O 0.0609 0.0485 0.8204
O3 O 0.0640 0.4553 0.1536
O4 O 0.0667 0.4399 0.4834
O5 O 0.0682 0.0547 0.4860
O6 O 0.0724 0.4406 0.8207
O7 O 0.0753 0.2457 0.6247
O8 O 0.0748 0.2508 0.2872
O9 O 0.0774 0.0575 0.1498
O10 O 0.1533 0.1083 0.9204
O11 O 0.1589 0.4380 0.5821
O12 O 0.1613 0.4311 0.2443
O13 O 0.1616 0.0497 0.2669
O14 O 0.2497 0.0604 0.8547